VASP calculation (PBE) on a geometry-optimized FeNiS2 structure.

Cell: 8.0754 8.0754 8.0754 Å, 120.96 88.64 120.62°
Last column: nearest neighbours and their distance in Å.
Atoms (fractional coordinates):
Fe1 0.2486 0.0000 0.2486  4 S 2.20
Fe2 0.6520 0.4941 0.8421  4 S 2.26-2.27, 1 Fe 2.51
Fe3 0.6520 0.8099 0.1579  4 S 2.26-2.27, 1 Fe 2.51
Fe4 0.7514 0.0000 0.7514  4 S 2.20
Ni1 0.3238 0.1504 0.8266  4 S 2.24
Ni2 0.3238 0.4972 0.1734  4 S 2.24
Ni3 0.3279 0.4959 0.8320  4 S 2.24
Ni4 0.6639 0.4959 0.1680  4 S 2.24
S1 0.0861 0.2205 0.8656  1 Fe 2.20, 3 Ni 2.24
S2 0.3537 0.2136 0.5846  2 Fe 2.20-2.26, 2 Ni 2.24
S3 0.3537 0.7691 0.1401  2 Fe 2.20-2.26, 2 Ni 2.24
S4 0.3549 0.2205 0.1344  1 Fe 2.20, 3 Ni 2.24
S5 0.6290 0.2136 0.8599  2 Fe 2.20-2.26, 2 Ni 2.24
S6 0.6290 0.7691 0.4154  2 Fe 2.20-2.26, 2 Ni 2.24
S7 0.6329 0.7736 0.8593  3 Fe 2.20-2.27, 1 Ni 2.24
S8 0.9144 0.7736 0.1407  3 Fe 2.20-2.27, 1 Ni 2.24

Calculated values
Symmetry ... Imm2
Uncorrected energy ... -5.79 eV/atom
Formation energy (no corrections) ... -164 meV/atom

***

VASP calculation (PBE) on a geometry-optimized AgS2F2 structure.

Cell: 6.5882 3.5987 7.3164 Å, 90.00 94.14 90.00°
Last column: nearest neighbours and their distance in Å.
Atoms (fractional coordinates):
Ag1 0.0000 0.0000 0.0000  4 F 2.26
Ag2 0.5000 0.5000 0.0000  4 F 2.26
S1 0.1128 0.0000 0.4261  1 S 1.90
S2 0.3872 0.5000 0.5739  1 S 1.90
S3 0.6128 0.5000 0.4261  1 S 1.90
S4 0.8872 0.0000 0.5739  1 S 1.90
F1 0.1123 0.5000 0.8489  2 Ag 2.26
F2 0.3877 0.0000 0.1511  2 Ag 2.26
F3 0.6123 0.0000 0.8489  2 Ag 2.26
F4 0.8877 0.5000 0.1511  2 Ag 2.26

Calculated values
Symmetry ... C2/m
Energy above the most stable polymorph in this dataset ... 0.000 eV per atom
Uncorrected energy ... -3.56 eV/atom
Formation energy (no corrections) ... -587 meV/atom

***

VASP calculation (PBE) on a geometry-optimized La2Sm3Y5 structure.

Cell: 9.9571 9.9571 9.2546 Å, 108.31 108.31 114.58°
Last column: nearest neighbours and their distance in Å.
Atoms (fractional coordinates):
La1 0.0235 0.2737 0.0451  2 Sm 3.09-3.35, 1 Y 3.37
La2 0.2737 0.0235 0.5451  2 Sm 3.09-3.35, 1 Y 3.37
La3 0.7263 0.9765 0.4549  2 Sm 3.09-3.35, 1 Y 3.37
La4 0.9765 0.7263 0.9549  2 Sm 3.09-3.35, 1 Y 3.37
Sm1 0.0244 0.9756 0.7500  1 Y 3.32, 4 La 3.35-3.54, 2 Sm 3.55
Sm2 0.2286 0.4802 0.4558  1 La 3.09, 3 Y 3.35-3.44
Sm3 0.4802 0.2286 0.9558  1 La 3.09, 3 Y 3.35-3.44
Sm4 0.5198 0.7714 0.0442  1 La 3.09, 3 Y 3.35-3.44
Sm5 0.7714 0.5198 0.5442  1 La 3.09, 3 Y 3.35-3.44
Sm6 0.9756 0.0244 0.2500  1 Y 3.32, 4 La 3.35-3.54, 2 Sm 3.55
Y1 0.1216 0.3803 0.7449  3 Sm 3.44-3.75, 2 La 3.50-3.53, 3 Y 3.63-3.70
Y2 0.2228 0.7772 0.7500  5 Sm 3.32-3.52, 2 La 3.52, 2 Y 3.63
Y3 0.2765 0.7235 0.2500  3 Y 3.33-3.68, 4 La 3.37-3.50, 2 Sm 3.50
Y4 0.3803 0.1216 0.2449  3 Sm 3.44-3.75, 2 La 3.50-3.53, 3 Y 3.63-3.70
Y5 0.4755 0.5245 0.2500  3 Y 3.33-3.70, 4 Sm 3.35-3.53, 2 La 3.52
Y6 0.5245 0.4755 0.7500  3 Y 3.33-3.70, 4 Sm 3.35-3.53, 2 La 3.52
Y7 0.6197 0.8784 0.7551  3 Sm 3.44-3.75, 2 La 3.50-3.53, 3 Y 3.63-3.70
Y8 0.7235 0.2765 0.7500  3 Y 3.33-3.68, 4 La 3.37-3.50, 2 Sm 3.50
Y9 0.7772 0.2228 0.2500  5 Sm 3.32-3.52, 2 La 3.52, 2 Y 3.63
Y10 0.8784 0.6197 0.2551  3 Sm 3.44-3.75, 2 La 3.50-3.53, 3 Y 3.63-3.70

Calculated values
Formation energy from the elements ... 172 meV/atom
Symmetry ... C2/c
Energy above the most stable polymorph in this dataset ... 0.000 eV per atom
Uncorrected energy ... -5.46 eV/atom

***

VASP calculation (PBE) on a geometry-optimized Zn3SnRh4 structure.

Cell: 7.5612 7.5612 7.5612 Å, 33.42 33.42 33.42°
Last column: nearest neighbours and their distance in Å.
Atoms (fractional coordinates):
Zn1 0.0000 0.0000 0.0000  8 Rh 2.65-2.66
Zn2 0.2540 0.2540 0.2540  8 Rh 2.58-2.78
Zn3 0.7460 0.7460 0.7460  8 Rh 2.58-2.78
Sn1 0.5000 0.5000 0.5000  8 Rh 2.67-2.68
Rh1 0.1241 0.1241 0.1241  5 Zn 2.65-2.78, 3 Sn 2.67
Rh2 0.3747 0.3747 0.3747  7 Zn 2.58-2.66, 1 Sn 2.68
Rh3 0.6253 0.6253 0.6253  7 Zn 2.58-2.66, 1 Sn 2.68
Rh4 0.8759 0.8759 0.8759  5 Zn 2.65-2.78, 3 Sn 2.67

Calculated values
Formation energy from the elements ... -483 meV/atom
Symmetry ... R-3m
Uncorrected energy ... -5.14 eV/atom

***

VASP calculation (PBE) on a geometry-optimized BaBe2P2O8 structure.

Cell: 5.1011 5.1011 7.5475 Å, 90.00 90.00 120.00°
Last column: nearest neighbours and their distance in Å.
Atoms (fractional coordinates):
Ba1 0.0000 0.0000 0.0000  12 O 3.01
Be1 0.3333 0.6667 0.6995  4 O 1.57-1.65
Be2 0.6667 0.3333 0.3005  4 O 1.57-1.65
P1 0.3333 0.6667 0.2922  4 O 1.51-1.56
P2 0.6667 0.3333 0.7078  4 O 1.51-1.56
O1 0.0078 0.5039 0.2129  1 P 1.56, 1 Be 1.65
O2 0.3333 0.6667 0.4916  1 P 1.51, 1 Be 1.57
O3 0.4961 0.5039 0.2129  1 P 1.56, 1 Be 1.65
O4 0.4961 0.9922 0.2129  1 P 1.56, 1 Be 1.65
O5 0.5039 0.0078 0.7871  1 P 1.56, 1 Be 1.65
O6 0.5039 0.4961 0.7871  1 P 1.56, 1 Be 1.65
O7 0.6667 0.3333 0.5084  1 P 1.51, 1 Be 1.57
O8 0.9922 0.4961 0.7871  1 P 1.56, 1 Be 1.65

Calculated values
Symmetry ... P-3m1
Uncorrected energy ... -7.31 eV/atom
Formation energy (no corrections) ... -2702 meV/atom

***

VASP calculation (PBE) on a geometry-optimized YMg8Cu4 structure.

Cell: 7.2453 7.2453 7.2453 Å, 97.93 97.93 136.39°
Last column: nearest neighbours and their distance in Å.
Atoms (fractional coordinates):
Y1 0.0000 0.0000 0.0000  12 Mg 3.24-3.38, 8 Cu 3.62
Mg1 0.0000 0.3404 0.3404  4 Cu 2.86, 5 Mg 2.94-3.11
Mg2 0.0000 0.6596 0.6596  4 Cu 2.86, 5 Mg 2.94-3.11
Mg3 0.2849 0.5000 0.7849  4 Cu 2.75, 4 Mg 2.89-2.94
Mg4 0.3404 0.0000 0.3404  4 Cu 2.86, 5 Mg 2.94-3.11
Mg5 0.5000 0.2849 0.7849  4 Cu 2.75, 4 Mg 2.89-2.94
Mg6 0.5000 0.7151 0.2151  4 Cu 2.75, 4 Mg 2.89-2.94
Mg7 0.6596 0.0000 0.6596  4 Cu 2.86, 5 Mg 2.94-3.11
Mg8 0.7151 0.5000 0.2151  4 Cu 2.75, 4 Mg 2.89-2.94
Cu1 0.0000 0.0000 0.5000  2 Cu 2.69, 8 Mg 2.75-2.86
Cu2 0.0000 0.5000 0.0000  2 Cu 2.69, 8 Mg 2.75-2.86
Cu3 0.5000 0.0000 0.0000  2 Cu 2.69, 8 Mg 2.75-2.86
Cu4 0.5000 0.5000 0.5000  2 Cu 2.69, 8 Mg 2.75-2.86

Calculated values
Formation energy from the elements ... -109 meV/atom
Symmetry ... I4/mmm
Energy above the most stable polymorph in this dataset ... 0.000 eV per atom
Uncorrected energy ... -2.85 eV/atom

***

VASP calculation (PBE) on a geometry-optimized ThSi3Ir2 structure.

Cell: 8.1565 8.1565 8.1565 Å, 150.87 124.83 63.60°
Last column: nearest neighbours and their distance in Å.
Atoms (fractional coordinates):
Th1 0.1492 0.1492 0.0000  8 Si 3.09-3.33, 6 Ir 3.15-3.20
Th2 0.8508 0.8508 0.0000  8 Si 3.09-3.33, 6 Ir 3.15-3.20
Si1 0.1762 0.3508 0.8254  3 Ir 2.35-2.47
Si2 0.3462 0.0000 0.3462  1 Si 2.32, 2 Ir 2.42
Si3 0.4746 0.6492 0.8254  3 Ir 2.35-2.47
Si4 0.5254 0.3508 0.1746  3 Ir 2.35-2.47
Si5 0.6538 0.0000 0.6538  1 Si 2.32, 2 Ir 2.42
Si6 0.8238 0.6492 0.1746  3 Ir 2.35-2.47
Ir1 0.1769 0.5000 0.6769  4 Si 2.35-2.42
Ir2 0.3214 0.8214 0.5000  6 Si 2.47-2.73
Ir3 0.6786 0.1786 0.5000  6 Si 2.47-2.73
Ir4 0.8231 0.5000 0.3231  4 Si 2.35-2.42

Calculated values
Symmetry ... Immm
Uncorrected energy ... -7.61 eV/atom
Formation energy (no corrections) ... -704 meV/atom

***

VASP calculation (PBE) on a geometry-optimized Cs2MnVBr6 structure.

Cell: 7.6269 7.6269 7.6269 Å, 60.00 60.00 60.00°
Last column: nearest neighbours and their distance in Å.
Atoms (fractional coordinates):
Cs1 0.2500 0.2500 0.2500  12 Br 3.81
Cs2 0.7500 0.7500 0.7500  12 Br 3.81
Mn1 0.0000 0.0000 0.0000  6 Br 2.72
V1 0.5000 0.5000 0.5000  6 Br 2.67
Br1 0.2521 0.2521 0.7479  1 V 2.67, 1 Mn 2.72
Br2 0.2521 0.7479 0.2521  1 V 2.67, 1 Mn 2.72
Br3 0.2521 0.7479 0.7479  1 V 2.67, 1 Mn 2.72
Br4 0.7479 0.2521 0.2521  1 V 2.67, 1 Mn 2.72
Br5 0.7479 0.2521 0.7479  1 V 2.67, 1 Mn 2.72
Br6 0.7479 0.7479 0.2521  1 V 2.67, 1 Mn 2.72

Calculated values
Symmetry ... Fm-3m
Uncorrected energy ... -4.17 eV/atom
Formation energy (no corrections) ... -1170 meV/atom

***

VASP calculation (PBE) on a geometry-optimized Ti3Pd7 structure.

Cell: 7.4085 7.4085 5.5630 Å, 102.02 102.02 30.87°
Last column: nearest neighbours and their distance in Å.
Atoms (fractional coordinates):
Ti1 0.0000 0.0000 0.0000  12 Pd 2.74-2.84
Ti2 0.1936 0.1936 0.6249  10 Pd 2.68-2.83
Ti3 0.8064 0.8064 0.3751  10 Pd 2.68-2.83
Pd1 0.0000 0.0000 0.5000  4 Ti 2.70-2.78, 8 Pd 2.77-2.80
Pd2 0.2017 0.2017 0.1213  5 Ti 2.68-2.83, 7 Pd 2.76-2.90
Pd3 0.3950 0.3950 0.6846  5 Ti 2.74-2.84, 7 Pd 2.76-2.80
Pd4 0.4040 0.4040 0.1913  4 Ti 2.74, 8 Pd 2.77-2.84
Pd5 0.5960 0.5960 0.8087  4 Ti 2.74, 8 Pd 2.77-2.84
Pd6 0.6050 0.6050 0.3154  5 Ti 2.74-2.84, 7 Pd 2.76-2.80
Pd7 0.7983 0.7983 0.8787  5 Ti 2.68-2.83, 7 Pd 2.76-2.90

Calculated values
Formation energy from the elements ... -609 meV/atom
Symmetry ... C2/m
Uncorrected energy ... -6.61 eV/atom

***

VASP calculation (PBE) on a geometry-optimized PaTl2InTe4 structure.

Cell: 8.1933 4.4997 8.2778 Å, 90.00 107.43 90.00°
Last column: nearest neighbours and their distance in Å.
Atoms (fractional coordinates):
Pa1 0.0000 0.0000 0.0000  6 Te 2.97-3.08
Tl1 0.0000 0.5000 0.5000  6 Te 3.40
Tl2 0.5000 0.0000 0.5000  6 Te 3.57-3.67
In1 0.5000 0.5000 0.0000  6 Te 3.27
Te1 0.2209 0.5000 0.2115  2 Pa 3.08, 1 In 3.27, 1 Tl 3.40
Te2 0.2328 0.0000 0.7854  1 Pa 2.97, 2 In 3.27
Te3 0.7672 0.0000 0.2146  1 Pa 2.97, 2 In 3.27
Te4 0.7791 0.5000 0.7885  2 Pa 3.08, 1 In 3.27, 1 Tl 3.40

Calculated values
Symmetry ... P2/m
Uncorrected energy ... -4.22 eV/atom
Formation energy (no corrections) ... -528 meV/atom

***

VASP calculation (PBE) on a geometry-optimized SrCaHg3 structure.

Cell: 5.7341 5.7341 5.7341 Å, 90.00 90.00 90.00°
Last column: nearest neighbours and their distance in Å.
Atoms (fractional coordinates):
Sr1 0.0000 0.0000 0.0000  12 Hg 4.05
Ca1 0.5000 0.5000 0.5000  6 Hg 2.87
Hg1 0.0000 0.5000 0.5000  2 Ca 2.87
Hg2 0.5000 0.0000 0.5000  2 Ca 2.87
Hg3 0.5000 0.5000 0.0000  2 Ca 2.87

Calculated values
Formation energy from the elements ... -93 meV/atom
Symmetry ... Pm-3m
Energy above the most stable polymorph in this dataset ... 0.405 eV per atom
Uncorrected energy ... -1.01 eV/atom

***

Which formula does entry 10 have? PaTl2InTe4